VASP calculation (PBE) on Na5B7C3 after structural relaxation.

Summary:
SG: Cm (8)
Formation energy: 1.8 eV per formula unit
Energy relative to the lowest polymorph listed for this composition: 5.5 meV per atom

Cell lengths 11.608, 11.608, 9.998 Å; angles 107.03, 107.03, 14.00 degrees
Fractional positions:
Na: 0.400 0.400 0.802
Na: 0.502 0.502 0.501
Na: 0.199 0.199 0.402
Na: 0.300 0.300 0.093
Na: 0.001 0.001 0.001
Na: 0.101 0.101 0.702
Na: 0.800 0.800 0.602
Na: 0.901 0.901 0.299
Na: 0.599 0.599 0.201
Na: 0.700 0.700 0.899
B: 0.924 0.924 0.598
B: 0.083 0.083 0.416
B: 0.015 0.015 0.278
B: 0.992 0.992 0.733
B: 0.881 0.881 0.009
B: 0.811 0.811 0.872
B: 0.772 0.772 0.293
B: 0.623 0.623 0.498
B: 0.586 0.586 0.922
B: 0.316 0.316 0.382
B: 0.421 0.421 0.090
B: 0.380 0.380 0.510
B: 0.216 0.216 0.685
B: 0.180 0.180 0.109
C: 0.712 0.712 0.173
C: 0.523 0.523 0.796
C: 0.685 0.685 0.623
C: 0.483 0.483 0.214
C: 0.117 0.117 0.985
C: 0.280 0.280 0.812